## TbThTcRu (GGA-PBE)

Data for a relaxed structure of TbThTcRu.

Lattice parameters (Å, degrees): 6.972 6.972 6.972 90.00 90.00 90.00
Space group F-43m (No. 216)
Inequivalent atoms, fractional coordinates:
Tb1 0.000 0.000 0.000 [4 per cell]
Th1 0.000 0.000 0.500 [4 per cell]
Tc1 0.250 0.250 0.250 [4 per cell]
Ru1 0.250 0.250 0.750 [4 per cell]

Summary:
ΔE_f	-0.203	eV/atom
magnetization	0.0	μB per cell
uncorrected energy	-8.1258	eV/atom